# 1
This record from Alexandria describes a relaxed structure of Sr2TaPt. The functional is PBE.

Unit cell a=8.2981 b=8.2981 c=8.2981 alpha=95.18 beta=95.18 gamma=145.01
Closest atoms and distances in Å follow each position.
Positions (direct):
Sr1 0.3750 0.2179 0.3429  2 Pt 3.05
Sr2 0.7821 0.1250 0.1571  2 Pt 3.05
Sr3 0.8750 0.0321 0.6571  2 Pt 3.05
Sr4 0.9679 0.6250 0.8429  2 Pt 3.05
Ta1 0.2500 0.7500 0.5000  2 Pt 2.49
Ta2 0.5000 0.5000 0.0000  2 Pt 2.49
Pt1 0.0000 0.0000 0.0000  2 Ta 2.49
Pt2 0.7500 0.2500 0.5000  2 Ta 2.49

Computed properties:
- N(E_F) (states/eV/f.u.) = 3.3
- energy above the lowest structure with this stoichiometry (meV per atom) = 376
- calculated volume (Å³/atom) = 39.1
- energy of formation (eV per atom) = 0.360

***

# 2
This record from Alexandria describes a relaxed structure of Sr2TaPt2. The functional is PBE.

Unit cell a=6.9416 b=6.9416 c=5.0756 alpha=90.00 beta=90.00 gamma=90.00
Closest atoms and distances in Å follow each position.
Positions (direct):
Sr1 0.1752 0.3248 0.0000  6 Pt 3.11-3.36, 1 Sr 3.44
Sr2 0.3248 0.8248 0.0000  6 Pt 3.11-3.36, 1 Sr 3.44
Sr3 0.6752 0.1752 0.0000  6 Pt 3.11-3.36, 1 Sr 3.44
Sr4 0.8248 0.6752 0.0000  6 Pt 3.11-3.36, 1 Sr 3.44
Ta1 0.0000 0.0000 0.5000  4 Pt 2.68
Ta2 0.5000 0.5000 0.5000  4 Pt 2.68
Pt1 0.1409 0.6409 0.5000  2 Ta 2.68, 1 Pt 2.77
Pt2 0.3591 0.1409 0.5000  2 Ta 2.68, 1 Pt 2.77
Pt3 0.6409 0.8591 0.5000  2 Ta 2.68, 1 Pt 2.77
Pt4 0.8591 0.3591 0.5000  2 Ta 2.68, 1 Pt 2.77

Computed properties:
- N(E_F) (states/eV/f.u.) = 4.5
- energy above the lowest structure with this stoichiometry (meV per atom) = 0
- calculated volume (Å³/atom) = 24.5
- energy of formation (eV per atom) = -0.372

***

# 3
This record from Alexandria describes a relaxed structure of Sr2TaPt. The functional is PBE.

Unit cell a=6.5962 b=6.5962 c=6.5962 alpha=146.79 beta=130.38 gamma=61.02
Closest atoms and distances in Å follow each position.
Positions (direct):
Sr1 0.0000 0.0000 0.0000  4 Pt 3.39, 2 Ta 3.50, 4 Sr 3.62-3.77
Sr2 0.7059 0.2059 0.5000  2 Pt 3.43, 4 Ta 3.55, 6 Sr 3.62-3.84
Ta1 0.3109 0.8109 0.5000  2 Pt 2.49
Pt1 0.4542 0.4542 0.0000  2 Ta 2.49

Computed properties:
- N(E_F) (states/eV/f.u.) = 4.4
- energy above the lowest structure with this stoichiometry (meV per atom) = 119
- calculated volume (Å³/atom) = 29.7
- energy of formation (eV per atom) = 0.102